Density functional theory data (PBE-GGA) for a geometry-optimized SrLi4Tl2Ag structure.

The size of the total moment is 0.00 μB per formula unit. The calculation puts the total energy at -0.17032 Ry per atom. The calculation puts the formation energy at -202 meV per atom. The volume comes out at 541 Å³/cell.

The structure belongs to space group R-3m (No. 166, hexagonal axes); the cell edges are 4.8017, 4.8017 and 27.0724 Å and the angles 90.00°, 90.00° and 120.00°. Symmetry generates all atoms from Sr at (0.0000, 0.0000, 0.0000), Li at (0.0000, 0.0000, 0.1352), Li at (0.0000, 0.0000, 0.4061), Tl at (0.0000, 0.0000, 0.2437) and Ag at (0.0000, 0.0000, 0.5000).

Density functional theory data (PBE-GGA) for a geometry-optimized KBeP2 structure.

The size of the total moment is 0.00 μB per formula unit. The calculation puts the total energy at -0.30071 Ry per atom. The calculation puts the formation energy at -180 meV per atom. The volume comes out at 170 Å³/cell.

The structure belongs to space group Cm (No. 8); the cell edges are 7.492, 3.494 and 6.558 Å and the angles 90.00°, 98.01° and 90.00°. Symmetry generates all atoms from K at (0.000, 0.000, 0.000), Be at (0.154, 0.500, 0.469), P at (0.250, 0.000, 0.650) and P at (0.357, 0.000, 0.365).

Q: Look up the size of the total moment of the first one.
A: 0.00 μB per formula unit